## NbGaSb2I (PBE)

Data for an optimized crystal structure of NbGaSb2I.

a b c (Å): 5.195 5.195 5.402
angles (deg): 90.00 90.00 90.00
Fractional coordinates of all 5 atoms:
Nb  0.000  0.000  0.000
Ga  0.500  0.500  0.500
Sb  0.000  0.500  0.500
Sb  0.500  0.000  0.500
I  0.500  0.500  0.000

Calculated values
space group = No. 123
total DFT energy (no corrections) = -3.456 eV/atom